1.
A relaxed structure of LiNdAlNi, computed with PBE.

```
4
Lattice="0.000 3.287 3.287 3.287 0.000 3.287 3.287 3.287 0.000" Properties=species:S:1:pos:R:3 pbc="T T T"
Li 0.000 0.000 0.000
Nd 1.643 1.643 1.643
Al 4.930 4.930 4.930
Ni 3.287 3.287 3.287
```

Values from the calculation:
magnetic moment: 0.000 μB per formula unit
symmetry: No. 216
volume: 17.8 A^3/atom
E_form: -107 kJ/mol of formula units
calculated total energy: -4.33 eV per atom

***

2.
A relaxed structure of LiCa2CdPd, computed with PBE.

```
5
Lattice="5.501 0.000 0.000 0.000 5.501 0.000 0.000 0.000 5.275" Properties=species:S:1:pos:R:3 pbc="T T T"
Li 0.000 0.000 0.000
Ca 0.000 2.751 2.637
Ca 2.751 0.000 2.637
Cd 2.751 2.751 0.000
Pd 2.751 2.751 2.637
```

Values from the calculation:
energy above the most stable polymorph in this dataset: 17 meV per atom
magnetic moment: 0.000 μB per formula unit
symmetry: No. 123
volume: 31.9 A^3/atom
E_form: -115 kJ/mol of formula units
calculated total energy: -2.64 eV per atom

***

3.
A relaxed structure of Co2AgSe, computed with PBE.

```
4
Lattice="-1.450 2.247 4.567 1.450 -2.247 4.567 1.450 2.247 -4.567" Properties=species:S:1:pos:R:3 pbc="T T T"
Co 0.000 0.000 0.000
Co 0.000 2.247 2.602
Ag 1.450 0.000 2.621
Se 0.000 0.000 5.235
```

Values from the calculation:
magnetic moment: 2.925 μB per formula unit
symmetry: No. 44
volume: 14.9 A^3/atom
calculated total energy: -4.75 eV per atom
E_form (uncorrected): 0.39 eV per atom

***

4.
A relaxed structure of CsKPSe2, computed with PBE.

```
10
Lattice="8.236 0.000 0.000 0.000 5.251 0.000 -2.128 0.000 9.459" Properties=species:S:1:pos:R:3 pbc="T T T"
Cs -0.532 1.172 2.365
Cs -1.596 4.079 7.094
K 2.522 2.403 7.094
K 3.586 2.848 2.365
P 4.118 0.000 0.000
P 3.054 0.000 4.729
Se 0.067 1.338 9.198
Se 1.130 3.913 4.469
Se 4.978 1.338 4.990
Se 6.042 3.913 0.260
```

Values from the calculation:
magnetic moment: 2.330 μB per formula unit
symmetry: No. 13
volume: 40.9 A^3/atom
calculated total energy: -3.26 eV per atom
E_form (uncorrected): -0.40 eV per atom